# Sr2LiPt GGA-PBE optimized geometry
data_Sr2LiPt
_chemical_formula_sum 'Sr4 Li2 Pt2'
_symmetry_space_group_name_H-M 'A m m 2'
_symmetry_Int_Tables_number 38
_symmetry_space_group_name_Hall 'A 2 -2'
_cell_length_a 4.500
_cell_length_b 4.519
_cell_length_c 11.620
_cell_angle_alpha 90.00
_cell_angle_beta 90.00
_cell_angle_gamma 90.00
loop_
_atom_site_label
_atom_site_fract_x
_atom_site_fract_y
_atom_site_fract_z
Sr1 0.000 0.000 0.000
Sr2 0.500 0.000 0.282
Li1 0.000 0.000 0.687
Pt1 0.500 0.000 0.574
# N(E_F) = 0.594 states/eV per atom
# ΔE_f = -484 meV/atom
# energy above the lowest structure with this stoichiometry = 0.0295 eV/atom